(1)
First-principles (PBE) data for a geometry-optimized Tl2AsOsPt structure, as listed in Alexandria via LeMat-Bulk.

Results
space-group type: P4/mmm, No. 123

Cell: 5.3117 5.3117 4.7624 Å, 90.00 90.00 90.00°
Atoms (fractional coordinates):
Tl 0.0000 0.5000 0.0000
Tl 0.5000 0.0000 0.0000
As 0.0000 0.0000 0.5000
Os 0.5000 0.5000 0.5000
Pt 0.0000 0.0000 0.0000



(2)
First-principles (PBE) data for a geometry-optimized SmEr2 structure, as listed in Alexandria via LeMat-Bulk.

Results
space-group type: I4/mmm, No. 139
energy above the lowest structure with this stoichiometry: 29 meV/atom

Cell: 7.9445 7.9445 7.9445 Å, 154.23 154.23 36.76°
Atoms (fractional coordinates):
Sm 0.0000 0.0000 0.0000
Er 0.3319 0.3319 0.0000
Er 0.6681 0.6681 0.0000



no.,magnetization (μB per atom),calculated formation energy (eV/f.u.)
1,0.47,6.44
2,0.00,0.07